The following is a DFT calculation (GGA-PBE) of an optimized crystal structure of Pm2Nd7Y2.

Cell lengths 8.3768, 7.0269, 7.0269 Å; angles 104.59, 99.68, 99.68 degrees
Last column: nearest neighbours and their distance in Å.
Element x y z (fractional)
Pm (0.0000, 0.2828, 0.7172)  6 Nd 3.34-3.65, 4 Y 3.54-3.59
Pm (0.0000, 0.7172, 0.2828)  6 Nd 3.34-3.65, 4 Y 3.54-3.59
Nd (0.6679, 0.9053, 0.4944)  3 Nd 3.31-3.65, 2 Pm 3.34-3.65
Nd (0.3321, 0.5056, 0.0947)  3 Nd 3.31-3.65, 2 Pm 3.34-3.65
Nd (0.3321, 0.0947, 0.5056)  3 Nd 3.31-3.65, 2 Pm 3.34-3.65
Nd (0.6679, 0.4944, 0.9053)  3 Nd 3.31-3.65, 2 Pm 3.34-3.65
Nd (0.5000, 0.0000, 0.0000)  10 Nd 3.57-3.98, 2 Y 3.83
Nd (0.3159, 0.5734, 0.5734)  6 Nd 3.31-3.65, 2 Pm 3.51, 1 Y 3.52
Nd (0.6841, 0.4266, 0.4266)  6 Nd 3.31-3.65, 2 Pm 3.51, 1 Y 3.52
Y (0.9696, 0.1923, 0.1923)  1 Y 3.48, 5 Nd 3.52-3.83, 4 Pm 3.54-3.59
Y (0.0304, 0.8077, 0.8077)  1 Y 3.48, 5 Nd 3.52-3.83, 4 Pm 3.54-3.59

***

The following is a DFT calculation (GGA-PBE) of an optimized crystal structure of Pm7NdY2.

Summary:
Energy above the most stable polymorph in this dataset (meV per atom): 263

Cell lengths 5.5907, 9.5932, 9.5932 Å; angles 126.17, 90.00, 90.00 degrees
Last column: nearest neighbours and their distance in Å.
Element x y z (fractional)
Pm (0.0000, 0.7918, 0.2081)  2 Y 3.15
Pm (0.0000, 0.2082, 0.7919)  2 Y 3.15
Pm (0.5000, 0.0678, 0.2892)  2 Pm 3.10-3.37, 1 Y 3.24
Pm (0.5000, 0.9322, 0.7108)  2 Pm 3.10-3.37, 1 Y 3.24
Pm (0.5000, 0.2892, 0.0678)  2 Pm 3.10-3.37, 1 Y 3.24
Pm (0.5000, 0.7108, 0.9322)  2 Pm 3.10-3.37, 1 Y 3.24
Pm (0.5000, 0.5000, 0.5000)  4 Pm 3.37, 2 Y 3.54
Nd (0.0000, 0.0000, 0.0000)  10 Pm 3.56-3.72
Y (0.5000, 0.7071, 0.2929)  6 Pm 3.15-3.48
Y (0.5000, 0.2929, 0.7071)  6 Pm 3.15-3.48

***

The following is a DFT calculation (GGA-PBE) of an optimized crystal structure of Pm5Nd2Y4.

Summary:
Energy above the most stable polymorph in this dataset (meV per atom): 72

Cell lengths 3.5593, 9.2115, 12.8282 Å; angles 111.04, 97.97, 90.00 degrees
Last column: nearest neighbours and their distance in Å.
Element x y z (fractional)
Pm (0.8561, 0.0532, 0.7122)  1 Nd 3.44, 3 Y 3.49-3.57, 3 Pm 3.56-3.63
Pm (0.8561, 0.6590, 0.7122)  1 Nd 3.44, 3 Y 3.49-3.57, 3 Pm 3.56-3.63
Pm (0.1439, 0.3410, 0.2878)  1 Nd 3.44, 3 Y 3.49-3.57, 3 Pm 3.56-3.63
Pm (0.1439, 0.9468, 0.2878)  1 Nd 3.44, 3 Y 3.49-3.57, 3 Pm 3.56-3.63
Pm (0.5000, 0.0000, 0.0000)  4 Y 3.38, 2 Pm 3.56
Nd (0.2675, 0.2675, 0.5350)  1 Y 3.19, 2 Pm 3.44, 2 Nd 3.56
Nd (0.7325, 0.7325, 0.4650)  1 Y 3.19, 2 Pm 3.44, 2 Nd 3.56
Y (0.0000, 0.3122, 0.0000)  4 Pm 3.38-3.57, 7 Y 3.39-3.56
Y (0.5976, 0.5976, 0.1953)  1 Nd 3.19, 6 Y 3.39-3.56, 4 Pm 3.49
Y (0.0000, 0.6878, 0.0000)  4 Pm 3.38-3.57, 7 Y 3.39-3.56
Y (0.4024, 0.4024, 0.8047)  1 Nd 3.19, 6 Y 3.39-3.56, 4 Pm 3.49

***

The following is a DFT calculation (GGA-PBE) of an optimized crystal structure of Pm2Nd6Y.

Summary:
Energy above the most stable polymorph in this dataset (meV per atom): 0

Cell lengths 3.5809, 9.9941, 10.6445 Å; angles 118.00, 70.36, 90.00 degrees
Last column: nearest neighbours and their distance in Å.
Element x y z (fractional)
Pm (0.3334, 0.3333, 0.6665)  2 Pm 3.58, 12 Nd 3.78-3.80
Pm (0.6666, 0.6667, 0.3335)  2 Pm 3.58, 12 Nd 3.78-3.80
Nd (0.8313, 0.0008, 0.6682)  5 Nd 3.32-3.58
Nd (0.1687, 0.3326, 0.3318)  5 Nd 3.32-3.58
Nd (0.1687, 0.9992, 0.3318)  5 Nd 3.32-3.58
Nd (0.5000, 0.3316, 0.0000)  5 Nd 3.32-3.58
Nd (0.8313, 0.6674, 0.6682)  5 Nd 3.32-3.58
Nd (0.5000, 0.6684, 0.0000)  5 Nd 3.32-3.58
Y (0.0000, 0.0000, 0.0000)  2 Y 3.58, 12 Nd 3.77-3.78

***

The following is a DFT calculation (GGA-PBE) of an optimized crystal structure of PmNdY.

Summary:
Energy above the most stable polymorph in this dataset (meV per atom): 46

Cell lengths 5.7619, 6.7526, 6.7581 Å; angles 63.08, 64.77, 64.75 degrees
Last column: nearest neighbours and their distance in Å.
Element x y z (fractional)
Pm (0.1644, 0.3354, 0.3358)  1 Pm 3.28, 4 Y 3.33-3.54
Pm (0.8356, 0.6646, 0.6642)  1 Pm 3.28, 4 Y 3.33-3.54
Nd (0.5003, 0.7538, 0.2456)  2 Nd 3.48-3.59, 6 Y 3.75-3.78, 6 Pm 3.77
Nd (0.4997, 0.2462, 0.7544)  2 Nd 3.48-3.59, 6 Y 3.75-3.78, 6 Pm 3.77
Y (0.1673, 0.8326, 0.8327)  4 Pm 3.33-3.54, 1 Y 3.34
Y (0.8327, 0.1674, 0.1673)  4 Pm 3.33-3.54, 1 Y 3.34

***

The following is a DFT calculation (GGA-PBE) of an optimized crystal structure of Pm4Nd5Y.

Summary:
Energy above the most stable polymorph in this dataset (meV per atom): 0

Cell lengths 3.5147, 6.9539, 14.5594 Å; angles 96.85, 96.93, 90.00 degrees
Last column: nearest neighbours and their distance in Å.
Element x y z (fractional)
Pm (0.6069, 0.8105, 0.2137)  1 Y 3.50, 4 Pm 3.51-3.88, 5 Nd 3.55-3.75
Pm (0.9061, 0.7008, 0.8122)  4 Pm 3.51-3.88, 4 Nd 3.52-3.65, 2 Y 3.66
Pm (0.3931, 0.1895, 0.7863)  1 Y 3.50, 4 Pm 3.51-3.88, 5 Nd 3.55-3.75
Pm (0.0939, 0.2992, 0.1878)  4 Pm 3.51-3.88, 4 Nd 3.52-3.65, 2 Y 3.66
Nd (0.2010, 0.6007, 0.4020)  8 Nd 3.47-3.75, 3 Pm 3.52-3.68
Nd (0.2058, 0.1048, 0.4116)  8 Nd 3.47-3.64, 3 Pm 3.65-3.75
Nd (0.7942, 0.8952, 0.5884)  8 Nd 3.47-3.64, 3 Pm 3.65-3.75
Nd (0.5000, 0.5000, 0.0000)  2 Y 3.48, 2 Nd 3.51, 6 Pm 3.55-3.65
Nd (0.7990, 0.3993, 0.5980)  8 Nd 3.47-3.75, 3 Pm 3.52-3.68
Y (0.5000, 0.0000, 0.0000)  2 Nd 3.48, 6 Pm 3.50-3.66, 2 Y 3.51

***

The following is a DFT calculation (GGA-PBE) of an optimized crystal structure of Pm6NdY2.

Summary:
Energy above the most stable polymorph in this dataset (meV per atom): 147

Cell lengths 6.2501, 7.5574, 7.5574 Å; angles 59.98, 89.97, 89.97 degrees
Last column: nearest neighbours and their distance in Å.
Element x y z (fractional)
Pm (0.2927, 0.3752, 0.8125)  1 Nd 3.06, 2 Pm 3.30
Pm (0.2926, 0.8123, 0.8123)  1 Nd 3.06, 2 Pm 3.30
Pm (0.2927, 0.8125, 0.3752)  1 Nd 3.06, 2 Pm 3.30
Pm (0.7073, 0.6248, 0.1875)  1 Nd 3.06, 2 Pm 3.30
Pm (0.7074, 0.1877, 0.1877)  1 Nd 3.06, 2 Pm 3.30
Pm (0.7073, 0.1875, 0.6248)  1 Nd 3.06, 2 Pm 3.30
Nd (0.0000, 0.0000, 0.0000)  6 Pm 3.06
Y (0.7869, 0.6665, 0.6665)  12 Pm 3.63-3.82
Y (0.2131, 0.3335, 0.3335)  12 Pm 3.63-3.82

***

The following is a DFT calculation (GGA-PBE) of an optimized crystal structure of Pm5NdY4.

Summary:
Energy above the most stable polymorph in this dataset (meV per atom): 241

Cell lengths 6.1034, 8.1131, 8.1131 Å; angles 81.87, 67.91, 67.91 degrees
Last column: nearest neighbours and their distance in Å.
Element x y z (fractional)
Pm (0.7608, 0.3777, 0.0003)  3 Pm 3.27-3.56, 1 Nd 3.27, 2 Y 3.31
Pm (0.1385, 0.0003, 0.6223)  3 Pm 3.27-3.56, 1 Nd 3.27, 2 Y 3.31
Pm (0.7612, 0.9997, 0.3777)  3 Pm 3.27-3.56, 1 Nd 3.27, 2 Y 3.31
Pm (0.1388, 0.6223, 0.9997)  3 Pm 3.27-3.56, 1 Nd 3.27, 2 Y 3.31
Pm (0.6836, 0.0000, 0.0000)  1 Nd 2.85
Nd (0.2171, 0.0000, 0.0000)  1 Pm 2.85
Y (0.4527, 0.3254, 0.6742)  2 Pm 3.31, 1 Y 3.71
Y (0.7781, 0.6742, 0.6746)  2 Pm 3.31, 1 Y 3.71
Y (0.1270, 0.3258, 0.3254)  2 Pm 3.31, 1 Y 3.71
Y (0.4524, 0.6746, 0.3258)  2 Pm 3.31, 1 Y 3.71

***

The following is a DFT calculation (GGA-PBE) of an optimized crystal structure of Pm3Nd4Y5.

Summary:
Energy above the most stable polymorph in this dataset (meV per atom): 198

Cell lengths 6.0147, 8.6808, 9.8122 Å; angles 105.83, 72.15, 69.73 degrees
Last column: nearest neighbours and their distance in Å.
Element x y z (fractional)
Pm (0.5230, 0.6874, 0.2666)  5 Y 3.15-3.51, 2 Nd 3.32-3.45
Pm (0.0000, 0.5000, 0.5000)  2 Y 3.01
Pm (0.4770, 0.3126, 0.7334)  5 Y 3.15-3.51, 2 Nd 3.32-3.45
Nd (0.8619, 0.2223, 0.0538)  2 Nd 3.32-3.70, 1 Pm 3.45, 3 Y 3.48-3.58
Nd (0.1702, 0.0426, 0.6171)  3 Pm 3.32-3.61, 3 Nd 3.61-3.70, 2 Y 3.71
Nd (0.8298, 0.9574, 0.3829)  3 Pm 3.32-3.61, 3 Nd 3.61-3.70, 2 Y 3.71
Nd (0.1381, 0.7777, 0.9462)  2 Nd 3.32-3.70, 1 Pm 3.45, 3 Y 3.48-3.58
Y (0.6285, 0.9436, 0.7995)  2 Pm 3.31-3.51, 2 Y 3.46-3.67, 2 Nd 3.71
Y (0.5000, 0.5000, 0.5000)  4 Pm 3.01-3.15
Y (0.2149, 0.4563, 0.1139)  4 Pm 3.24-3.51, 3 Nd 3.48-3.58
Y (0.7851, 0.5437, 0.8861)  4 Pm 3.24-3.51, 3 Nd 3.48-3.58
Y (0.3715, 0.0564, 0.2005)  2 Pm 3.31-3.51, 2 Y 3.46-3.67, 2 Nd 3.71

***

The following is a DFT calculation (GGA-PBE) of an optimized crystal structure of Pm4Nd2Y.

Summary:
Energy above the most stable polymorph in this dataset (meV per atom): 0

Cell lengths 3.6501, 3.6501, 20.9217 Å; angles 85.00, 85.00, 60.00 degrees
Last column: nearest neighbours and their distance in Å.
Element x y z (fractional)
Pm (0.1429, 0.1429, 0.5712)  9 Pm 3.64-3.65, 3 Nd 3.67
Pm (0.2865, 0.2865, 0.1405)  3 Y 3.61, 6 Pm 3.65, 3 Nd 3.67
Pm (0.7135, 0.7135, 0.8595)  3 Y 3.61, 6 Pm 3.65, 3 Nd 3.67
Pm (0.8571, 0.8571, 0.4288)  9 Pm 3.64-3.65, 3 Nd 3.67
Nd (0.4282, 0.4282, 0.7154)  6 Nd 3.65, 6 Pm 3.67
Nd (0.5718, 0.5718, 0.2846)  6 Nd 3.65, 6 Pm 3.67
Y (0.0000, 0.0000, 0.0000)  6 Pm 3.61, 6 Y 3.65

***

Number 1: energy -54.353 eV/cell. Number 2: energy -44.381 eV/cell. Number 3: energy -57.001 eV/cell. Number 4: energy -44.114 eV/cell. Number 5: energy -31.604 eV/cell. Number 6: energy -47.858 eV/cell. Number 7: energy -44.360 eV/cell. Number 8: energy -51.826 eV/cell. Number 9: energy -63.095 eV/cell. Number 10: energy -34.932 eV/cell.